No. 1
SiHPd2: relaxed, PBE.

Unit cell a=5.1041 b=5.1041 c=5.4478 alpha=62.07 beta=62.07 gamma=90.00
With the nearest neighbours (Å) after each atom.
Element x y z (fractional)
H (0.5000, 0.5000, 0.0000)  4 Pd 1.83
H (0.2500, 0.7500, 0.5000)  4 Pd 1.83
Si (0.0000, 0.0000, 0.0000)  4 Pd 2.37
Si (0.7500, 0.2500, 0.5000)  4 Pd 2.37
Pd (0.5384, 0.1250, 0.2500)  2 H 1.83
Pd (0.2116, 0.6250, 0.2500)  2 H 1.83
Pd (0.3750, 0.4616, 0.7500)  2 H 1.83
Pd (0.8750, 0.7884, 0.7500)  2 H 1.83

**Calculated volume**: 13.29 A^3/atom
**Relative energy among the computed polymorphs**: 0 meV/atom
**Spin magnetization**: 0.00 μB per cell
**Total energy**: -4.973 eV/atom
**ρ**: 7.56 g cm⁻³

No. 2
Tl2Bi3H4: relaxed, PBE.

Unit cell a=6.9722 b=8.6284 c=8.6283 alpha=54.64 beta=89.94 gamma=89.94
With the nearest neighbours (Å) after each atom.
Element x y z (fractional)
Tl (0.5534, 0.3362, 0.2723)  1 H 2.40
Tl (0.9466, 0.7277, 0.6638)  1 H 2.40
Tl (0.4466, 0.6638, 0.7277)  1 H 2.40
Tl (0.0534, 0.2723, 0.3362)  1 H 2.40
Bi (0.7726, 0.0972, 0.1125)  1 H 1.90
Bi (0.7274, 0.8875, 0.9028)  1 H 1.90
Bi (0.2274, 0.9028, 0.8875)  1 H 1.90
Bi (0.2726, 0.1125, 0.0972)  1 H 1.90
Bi (0.2500, 0.5614, 0.4386)  2 H 1.87
Bi (0.7500, 0.4386, 0.5614)  2 H 1.87
H (0.4322, 0.7211, 0.2554)  1 Bi 1.87
H (0.0678, 0.7446, 0.2789)  1 Bi 1.87
H (0.5678, 0.2789, 0.7446)  1 Bi 1.87
H (0.9322, 0.2554, 0.7211)  1 Bi 1.87
H (0.2383, 0.1017, 0.6234)  1 Bi 1.90
H (0.2617, 0.3766, 0.8983)  1 Bi 1.90
H (0.7617, 0.8983, 0.3766)  1 Bi 1.90
H (0.7383, 0.6234, 0.1017)  1 Bi 1.90

**Calculated volume**: 23.52 A^3/atom
**Spin magnetization**: 0.00 μB per cell
**Total energy**: -3.007 eV/atom
**ρ**: 8.16 g cm⁻³

No. 3
TlAgTe3: relaxed, PBE.

Unit cell a=5.1963 b=7.2912 c=10.0887 alpha=90.00 beta=90.00 gamma=119.81
With the nearest neighbours (Å) after each atom.
Element x y z (fractional)
Tl (0.3765, 0.2456, 0.2500)  2 Ag 3.34, 6 Te 3.41-3.73
Tl (0.6235, 0.7544, 0.7500)  2 Ag 3.34, 6 Te 3.41-3.73
Ag (0.5000, 0.0000, 0.5000)  2 Te 2.72
Ag (0.5000, 0.0000, 0.0000)  2 Te 2.72
Te (0.0640, 0.3209, 0.5380)  1 Ag 2.72, 1 Te 2.89
Te (0.6887, 0.8090, 0.2500)  2 Te 2.89
Te (0.3113, 0.1910, 0.7500)  2 Te 2.89
Te (0.0640, 0.3209, 0.9620)  1 Ag 2.72, 1 Te 2.89
Te (0.9360, 0.6791, 0.0380)  1 Ag 2.72, 1 Te 2.89
Te (0.9360, 0.6791, 0.4620)  1 Ag 2.72, 1 Te 2.89

**Calculated volume**: 33.17 A^3/atom
**Relative energy among the computed polymorphs**: 22 meV/atom
**Spin magnetization**: 0.00 μB per cell
**Total energy**: -2.992 eV/atom
**ρ**: 6.96 g cm⁻³